1.
Entry from Alexandria via LeMat-Bulk: Er6Tl6Hg after structural relaxation (PBE).

The value obtained for the formation energy from the elements is -2.12 eV per formula unit. The total magnetic moment comes out at 0.000 μB per cell. As for the uncorrected energy: -44.0 eV per formula unit. Its crystal system is orthorhombic.

The structure belongs to space group Cmmm (No. 65); the cell edges are 6.433, 11.156 and 10.331 Å and the angles 90.00°, 90.00° and 90.00°. Symmetry generates all atoms from Er at (0.000, 0.000, 0.184), Er at (0.000, 0.333, 0.000), Er at (0.000, 0.334, 0.500), Tl at (0.000, 0.500, 0.250), Tl at (0.250, 0.250, 0.250) and Hg at (0.000, 0.000, 0.500).

---

2.
Entry from Alexandria via LeMat-Bulk: ErTlHg2 after structural relaxation (PBE).

The value obtained for the formation energy from the elements is -1.03 eV per formula unit. The total magnetic moment comes out at 0.000 μB per cell. As for the uncorrected energy: -8.6 eV per formula unit. Its crystal system is tetragonal.

The structure belongs to space group P4/mmm (No. 123); the cell edges are 4.832, 4.832 and 4.288 Å and the angles 90.00°, 90.00° and 90.00°. Symmetry generates all atoms from Er at (0.000, 0.000, 0.000), Tl at (0.500, 0.500, 0.000) and Hg at (0.000, 0.500, 0.500).

---

3.
Entry from Alexandria via LeMat-Bulk: Er3TlHg2 after structural relaxation (PBE).

The value obtained for the formation energy from the elements is -2.53 eV per formula unit. The total magnetic moment comes out at 0.000 μB per cell. As for the uncorrected energy: -19.2 eV per formula unit. Its crystal system is tetragonal.

The structure belongs to space group P4/mmm (No. 123); the cell edges are 3.714, 3.714 and 11.171 Å and the angles 90.00°, 90.00° and 90.00°. Symmetry generates all atoms from Er at (0.000, 0.000, 0.000), Er at (0.000, 0.000, 0.325), Tl at (0.500, 0.500, 0.500) and Hg at (0.500, 0.500, 0.161).

---

4.
Entry from Alexandria via LeMat-Bulk: Er3Tl3Hg after structural relaxation (PBE).

The value obtained for the formation energy from the elements is -1.41 eV per formula unit. The total magnetic moment comes out at 0.000 μB per cell. As for the uncorrected energy: -22.5 eV per formula unit. Its crystal system is hexagonal.

The structure belongs to space group P6_3/m (No. 176); the cell edges are 8.9973, 8.9973 and 5.3525 Å and the angles 90.00°, 90.00° and 120.00°. Symmetry generates all atoms from Er at (0.1019, 0.6468, 0.2500), Tl at (0.0512, 0.8034, 0.7500) and Hg at (0.3333, 0.6667, 0.7500).

---

5.
Entry from Alexandria via LeMat-Bulk: ErTlHg2 after structural relaxation (PBE).

The value obtained for the formation energy from the elements is -0.68 eV per formula unit. The total magnetic moment comes out at 0.000 μB per cell. As for the uncorrected energy: -8.2 eV per formula unit. Its crystal system is trigonal.

The structure belongs to space group R3m (No. 160, hexagonal axes); the cell edges are 3.7368, 3.7368 and 27.5351 Å and the angles 90.00°, 90.00° and 120.00°. Symmetry generates all atoms from Er at (0.0000, 0.0000, 0.0000), Tl at (0.0000, 0.0000, 0.1675), Hg at (0.0000, 0.0000, 0.4136) and Hg at (0.0000, 0.0000, 0.5863).

---

6.
Entry from Alexandria via LeMat-Bulk: Er6Tl5Hg after structural relaxation (PBE).

The value obtained for the formation energy from the elements is -3.23 eV per formula unit. The total magnetic moment comes out at 0.000 μB per cell. As for the uncorrected energy: -42.7 eV per formula unit. The offset from the most stable computed form is 71 meV per atom. Its crystal system is monoclinic.

The structure belongs to space group C2/m (No. 12); the cell edges are 6.428, 11.179 and 9.720 Å and the angles 90.00°, 102.94° and 90.00°. Symmetry generates all atoms from Er at (0.246, 0.000, 0.251), Er at (0.246, 0.165, 0.746), Tl at (0.000, 0.170, 0.000), Tl at (0.000, 0.335, 0.500), Tl at (0.000, 0.500, 0.000) and Hg at (0.000, 0.000, 0.500).

---

7.
Entry from Alexandria via LeMat-Bulk: Er4Tl5Hg after structural relaxation (PBE).

The value obtained for the formation energy from the elements is -0.30 eV per formula unit. The total magnetic moment comes out at 0.000 μB per cell. As for the uncorrected energy: -30.7 eV per formula unit. The offset from the most stable computed form is 248 meV per atom. Its crystal system is orthorhombic.

The structure belongs to space group Pmmn (No. 59, origin choice 2); the cell edges are 7.902, 9.977 and 7.526 Å and the angles 90.00°, 90.00° and 90.00°. Symmetry generates all atoms from Er at (0.002, 0.250, 0.211), Er at (0.250, 0.062, 0.530), Tl at (0.057, 0.564, 0.187), Tl at (0.250, 0.250, 0.900) and Hg at (0.250, 0.750, 0.490).

---

8.
Entry from Alexandria via LeMat-Bulk: Er6TlHg5 after structural relaxation (PBE).

The value obtained for the formation energy from the elements is -5.42 eV per formula unit. The total magnetic moment comes out at 0.000 μB per cell. As for the uncorrected energy: -36.7 eV per formula unit. Its crystal system is orthorhombic.

The structure belongs to space group Cmmm (No. 65); the cell edges are 5.233, 15.724 and 7.413 Å and the angles 90.00°, 90.00° and 90.00°. Symmetry generates all atoms from Er at (0.000, 0.000, 0.246), Er at (0.000, 0.332, 0.248), Tl at (0.000, 0.500, 0.500), Hg at (0.000, 0.166, 0.000), Hg at (0.000, 0.168, 0.500) and Hg at (0.000, 0.500, 0.000).